(1)
## Ta2FeBr (PBE)

Data for Ta2FeBr after structural relaxation.

* formation energy without anion corrections: 0.713 eV/atom
* energy: -0.2847 hartree per atom
* D(E_F): 0.94 states/eV per atom
* size of the total moment: 1.626 μB/f.u.

a b c (Å): 3.1980 4.4080 4.8132
angles (deg): 90.00 90.00 90.00
With the nearest neighbours (Å) after each atom.
Positions (direct):
Ta1 0.0000 0.0000 0.0000  4 Br 2.72, 4 Ta 2.89
Ta2 0.5000 0.0000 0.5000  4 Fe 2.72, 4 Ta 2.89
Fe1 0.0000 0.5000 0.5000  4 Ta 2.72, 4 Br 2.89
Br1 0.5000 0.5000 0.0000  4 Ta 2.72, 4 Fe 2.89

=====

(2)
## Ta2FeBr (PBE)

Data for Ta2FeBr after structural relaxation.

* formation energy without anion corrections: 0.852 eV/atom
* energy: -0.2796 hartree per atom
* D(E_F): 1.03 states/eV per atom
* size of the total moment: 1.927 μB/f.u.

a b c (Å): 5.3412 5.3412 5.3412
angles (deg): 138.13 138.13 60.70
With the nearest neighbours (Å) after each atom.
Positions (direct):
Ta1 0.0000 0.0000 0.0000  4 Fe 2.70, 4 Ta 2.99, 4 Br 2.99
Ta2 0.7500 0.2500 0.5000  4 Br 2.70, 4 Fe 2.99, 4 Ta 2.99
Fe1 0.5000 0.5000 0.0000  8 Ta 2.70-2.99, 4 Br 2.99
Br1 0.2500 0.7500 0.5000  8 Ta 2.70-2.99, 4 Fe 2.99

=====

(3)
## TaFe2Br (PBE)

Data for TaFe2Br after structural relaxation.

* formation energy without anion corrections: 1.029 eV/atom
* energy: -0.2420 hartree per atom
* D(E_F): 0.94 states/eV per atom
* size of the total moment: 2.001 μB/f.u.

a b c (Å): 6.2676 6.2676 6.2676
angles (deg): 125.18 125.18 81.25
With the nearest neighbours (Å) after each atom.
Positions (direct):
Ta1 0.0000 0.0000 0.0000  4 Fe 2.39
Ta2 0.7500 0.2500 0.5000  4 Fe 2.39
Fe1 0.1342 0.6250 0.0092  2 Br 2.33, 2 Ta 2.39
Fe2 0.3750 0.3842 0.5092  2 Br 2.33, 2 Ta 2.39
Fe3 0.6158 0.1250 0.9908  2 Br 2.33, 2 Ta 2.39
Fe4 0.8750 0.8658 0.4908  2 Br 2.33, 2 Ta 2.39
Br1 0.2500 0.7500 0.5000  4 Fe 2.33
Br2 0.5000 0.5000 0.0000  4 Fe 2.33